1.
VASP calculation (GGA-PBE) on a relaxed U6AsP2C3 crystal.

Cell lengths 3.7133, 7.5538, 8.4127 Å; angles 104.21, 102.75, 90.00 degrees
Last column: nearest neighbours and their distance in Å.
Atoms (fractional coordinates):
U1 0.3218 0.9370 0.6436  3 C 2.49-2.54
U2 0.6593 0.6014 0.3187  3 C 2.51-2.53, 3 P 2.78
U3 0.6782 0.0630 0.3564  3 C 2.49-2.54
U4 0.9917 0.2798 0.9834  3 C 2.47-2.50
U5 0.0083 0.7202 0.0166  3 C 2.47-2.50
U6 0.3407 0.3986 0.6813  3 C 2.51-2.53, 3 P 2.78
As1 0.5000 0.0000 0.0000  6 U 2.84
P1 0.8337 0.6689 0.6674  6 U 2.78-2.79
P2 0.1663 0.3311 0.3326  6 U 2.78-2.79
C1 0.5000 0.5000 0.0000  6 U 2.47-2.53
C2 0.8344 0.1710 0.6688  6 U 2.49-2.54
C3 0.1656 0.8290 0.3312  6 U 2.49-2.54

Output
crystal system	monoclinic
space-group type	C2/m
energy relative to the elements	-10.218	kcal/mol of atoms

2.
VASP calculation (GGA-PBE) on a relaxed CaSiSeBr2 crystal.

Cell lengths 5.1338, 5.1338, 5.2517 Å; angles 90.00, 90.00, 90.00 degrees
Last column: nearest neighbours and their distance in Å.
Atoms (fractional coordinates):
Ca1 0.5000 0.5000 0.5000  4 Se 3.63, 8 Br 3.67
Si1 0.0000 0.0000 0.0000  4 Br 2.57, 2 Se 2.63
Se1 0.0000 0.0000 0.5000  2 Si 2.63
Br1 0.0000 0.5000 0.0000  2 Si 2.57
Br2 0.5000 0.0000 0.0000  2 Si 2.57

Output
crystal system	tetragonal
space-group type	P4/mmm
energy relative to the lowest polymorph listed for this composition	0.000	eV per formula unit
ΔE_f (raw)	-64	kJ/mol of atoms

3.
VASP calculation (GGA-PBE) on a relaxed La2MgSnPt6 crystal.

Cell lengths 9.0905, 5.6657, 9.0862 Å; angles 71.85, 36.32, 90.02 degrees
Last column: nearest neighbours and their distance in Å.
Atoms (fractional coordinates):
La1 0.2077 0.7917 0.4172  6 Pt 3.00
La2 0.7923 0.2083 0.5828  6 Pt 3.00
Mg1 0.5000 0.5000 0.0000  6 Pt 2.62
Sn1 0.0000 0.0000 0.0000  6 Pt 2.73-2.74
Pt1 0.2548 0.7462 0.0025  1 Mg 2.62, 1 Sn 2.74, 4 Pt 2.81-2.86
Pt2 0.7451 0.7497 0.9973  1 Mg 2.62, 1 Sn 2.74, 4 Pt 2.81-2.86
Pt3 0.2492 0.2540 0.4930  1 Mg 2.62, 1 Sn 2.73, 4 Pt 2.81-2.86
Pt4 0.7452 0.2538 0.9975  1 Mg 2.62, 1 Sn 2.74, 4 Pt 2.81-2.86
Pt5 0.2549 0.2503 0.0027  1 Mg 2.62, 1 Sn 2.74, 4 Pt 2.81-2.86
Pt6 0.7508 0.7460 0.5070  1 Mg 2.62, 1 Sn 2.73, 4 Pt 2.81-2.86

Output
crystal system	monoclinic
space-group type	C2/m
energy relative to the elements	-17.483	kcal/mol of atoms

4.
VASP calculation (GGA-PBE) on a relaxed Ba2TlInH crystal.

Cell lengths 5.6176, 5.6176, 4.9115 Å; angles 90.00, 90.00, 90.00 degrees
Last column: nearest neighbours and their distance in Å.
Atoms (fractional coordinates):
H1 0.0000 0.0000 0.0000  2 Tl 2.46
Tl1 0.0000 0.0000 0.5000  2 H 2.46
Ba1 0.0000 0.5000 0.0000  2 H 2.81
Ba2 0.5000 0.0000 0.0000  2 H 2.81
In1 0.5000 0.5000 0.5000  8 Ba 3.73, 4 Tl 3.97

Output
crystal system	tetragonal
space-group type	P4/mmm
energy relative to the lowest polymorph listed for this composition	0.050	eV per formula unit

5.
VASP calculation (GGA-PBE) on a relaxed TbHo3Ga crystal.

Cell lengths 7.3737, 7.3737, 7.4181 Å; angles 104.73, 117.61, 106.13 degrees
Last column: nearest neighbours and their distance in Å.
Atoms (fractional coordinates):
Tb1 0.7037 0.0674 0.7711  2 Ga 2.89-3.02
Tb2 0.2963 0.9326 0.2289  2 Ga 2.89-3.02
Ho1 0.8428 0.0268 0.2539  2 Ga 2.84-3.08
Ho2 0.2272 0.4111 0.2539  2 Ga 2.84-3.08
Ho3 0.7728 0.5889 0.7461  2 Ga 2.84-3.08
Ho4 0.7247 0.4458 0.1705  1 Ga 2.87
Ho5 0.1572 0.9732 0.7461  2 Ga 2.84-3.08
Ho6 0.2753 0.5542 0.8295  1 Ga 2.87
Ga1 0.6313 0.7541 0.3854  5 Ho 2.84-3.08, 2 Tb 2.89-3.02
Ga2 0.3687 0.2459 0.6146  5 Ho 2.84-3.08, 2 Tb 2.89-3.02

Output
crystal system	monoclinic
space-group type	C2/m
energy relative to the elements	-1.511	kcal/mol of atoms

6.
VASP calculation (GGA-PBE) on a relaxed TaMnSi3 crystal.

Cell lengths 4.3387, 4.3387, 4.3387 Å; angles 90.00, 90.00, 90.00 degrees
Last column: nearest neighbours and their distance in Å.
Atoms (fractional coordinates):
Si1 0.0000 0.5000 0.0000  2 Mn 2.17
Si2 0.0000 0.0000 0.5000  2 Mn 2.17
Si3 0.5000 0.0000 0.0000  2 Mn 2.17
Mn1 0.0000 0.0000 0.0000  6 Si 2.17
Ta1 0.5000 0.5000 0.5000  12 Si 3.07

Output
crystal system	cubic
space-group type	Pm-3m
energy relative to the lowest polymorph listed for this composition	0.000	eV per formula unit
ΔE_f (raw)	72	kJ/mol of atoms

7.
VASP calculation (GGA-PBE) on a relaxed NiHRuW2 crystal.

Cell lengths 3.9302, 3.9302, 3.8628 Å; angles 90.00, 90.00, 90.00 degrees
Last column: nearest neighbours and their distance in Å.
Atoms (fractional coordinates):
Ru1 0.0000 0.0000 0.5000  2 H 1.93
H1 0.0000 0.0000 0.0000  2 Ru 1.93, 4 W 1.97
W1 0.0000 0.5000 0.0000  2 H 1.97
W2 0.5000 0.0000 0.0000  2 H 1.97
Ni1 0.5000 0.5000 0.5000  8 W 2.76, 4 Ru 2.78

Output
crystal system	tetragonal
space-group type	P4/mmm
energy relative to the lowest polymorph listed for this composition	0.186	eV per formula unit

8.
VASP calculation (GGA-PBE) on a relaxed Nd3Dy2TmSe6 crystal.

Cell lengths 7.1116, 7.1116, 7.3061 Å; angles 99.32, 99.32, 120.25 degrees
Last column: nearest neighbours and their distance in Å.
Atoms (fractional coordinates):
Nd1 0.1694 0.8306 0.5000  6 Se 2.99-3.01
Nd2 0.8306 0.1694 0.5000  6 Se 2.99-3.01
Nd3 0.5000 0.5000 0.5000  6 Se 2.99-3.01
Dy1 0.3331 0.6669 0.0000  6 Se 2.87-2.89
Dy2 0.6669 0.3331 0.0000  6 Se 2.87-2.89
Tm1 0.0000 0.0000 0.0000  6 Se 2.84-2.85
Se1 0.9225 0.5932 0.7672  1 Tm 2.84, 2 Dy 2.87, 3 Nd 2.99-3.00
Se2 0.7488 0.7488 0.2350  1 Tm 2.85, 2 Dy 2.89, 3 Nd 3.01
Se3 0.0775 0.4068 0.2328  1 Tm 2.84, 2 Dy 2.87, 3 Nd 2.99-3.00
Se4 0.5932 0.9225 0.7672  1 Tm 2.84, 2 Dy 2.87, 3 Nd 2.99-3.00
Se5 0.2512 0.2512 0.7650  1 Tm 2.85, 2 Dy 2.89, 3 Nd 3.01
Se6 0.4068 0.0775 0.2328  1 Tm 2.84, 2 Dy 2.87, 3 Nd 2.99-3.00

Output
crystal system	monoclinic
space-group type	C2/m
ΔE_f (raw)	-172	kJ/mol of atoms

9.
VASP calculation (GGA-PBE) on a relaxed TaHg2HBr crystal.

Cell lengths 5.2921, 3.4799, 5.2921 Å; angles 90.00, 90.00, 90.00 degrees
Last column: nearest neighbours and their distance in Å.
Atoms (fractional coordinates):
H1 0.0000 0.0000 0.0000  2 Ta 1.74
Hg1 0.0000 0.0000 0.5000  2 H 2.65
Hg2 0.5000 0.0000 0.0000  2 H 2.65
Br1 0.5000 0.5000 0.5000  8 Hg 3.17, 2 Br 3.48
Ta1 0.0000 0.5000 0.0000  2 H 1.74

Output
crystal system	tetragonal
space-group type	P4/mmm
energy	-14.84	eV per cell

10.
VASP calculation (GGA-PBE) on a relaxed ReMo2Ru crystal.

Cell lengths 4.8445, 4.8445, 4.8445 Å; angles 132.39, 132.39, 69.62 degrees
Last column: nearest neighbours and their distance in Å.
Atoms (fractional coordinates):
Mo1 0.0000 0.0000 0.0000  4 Re 2.77, 4 Mo 2.79, 4 Ru 2.79
Mo2 0.2500 0.7500 0.5000  4 Ru 2.77, 4 Mo 2.79, 4 Re 2.79
Re1 0.5000 0.5000 0.0000  8 Mo 2.77-2.79, 4 Ru 2.79
Ru1 0.7500 0.2500 0.5000  8 Mo 2.77-2.79, 4 Re 2.79

Output
crystal system	tetragonal
space-group type	I-4m2
energy relative to the elements	3.483	kcal/mol of atoms
energy relative to the lowest polymorph listed for this composition	0.159	eV per formula unit

11.
VASP calculation (GGA-PBE) on a relaxed Tl2ZnAgI5 crystal.

Cell lengths 4.3845, 11.2017, 14.3875 Å; angles 90.00, 90.00, 101.29 degrees
Last column: nearest neighbours and their distance in Å.
Atoms (fractional coordinates):
Tl1 0.8831 0.7661 0.8188  6 I 3.52-3.61
Tl2 0.1409 0.2818 0.6891  7 I 3.46-3.80
Tl3 0.1169 0.2339 0.3188  6 I 3.52-3.61
Tl4 0.8591 0.7182 0.1891  7 I 3.46-3.80
Zn1 0.5666 0.1332 0.9234  4 I 2.62-2.70
Zn2 0.4334 0.8668 0.4234  4 I 2.62-2.70
Ag1 0.7777 0.5554 0.5389  5 I 2.87-3.18
Ag2 0.2223 0.4446 0.0389  5 I 2.87-3.18
I1 0.3510 0.7021 0.0038  1 Ag 2.87
I2 0.6843 0.3685 0.8896  1 Zn 2.63
I3 0.5088 0.0176 0.7646  1 Zn 2.62
I4 0.2994 0.5989 0.6733  2 Ag 2.96
I5 0.9639 0.9278 0.5224  2 Zn 2.70
I6 0.6490 0.2979 0.5038  1 Ag 2.87
I7 0.3157 0.6315 0.3896  1 Zn 2.63
I8 0.4912 0.9824 0.2646  1 Zn 2.62
I9 0.7006 0.4011 0.1733  2 Ag 2.96
I10 0.0361 0.0722 0.0224  2 Zn 2.70

Output
crystal system	orthorhombic
space-group type	Cmc2_1
ΔE_f (raw)	-51	kJ/mol of atoms

12.
VASP calculation (GGA-PBE) on a relaxed SnIrPtI crystal.

Cell lengths 6.3214, 4.4287, 7.8016 Å; angles 90.00, 100.74, 90.00 degrees
Last column: nearest neighbours and their distance in Å.
Atoms (fractional coordinates):
I1 0.5829 0.0000 0.8881  1 Ir 2.66
I2 0.5829 0.5000 0.3881  1 Ir 2.66
Ir1 0.1559 0.0000 0.8521  3 Pt 2.57-2.60, 1 I 2.66, 3 Sn 2.77-2.83
Ir2 0.1559 0.5000 0.3521  3 Pt 2.57-2.60, 1 I 2.66, 3 Sn 2.77-2.83
Sn1 0.9832 0.0000 0.1616  3 Ir 2.77-2.83, 3 Pt 2.82-2.83, 1 I 2.99
Sn2 0.9832 0.5000 0.6616  3 Ir 2.77-2.83, 3 Pt 2.82-2.83, 1 I 2.99
Pt1 0.1688 0.0000 0.5215  3 Ir 2.57-2.60, 3 Sn 2.82-2.83
Pt2 0.1688 0.5000 0.0215  3 Ir 2.57-2.60, 3 Sn 2.82-2.83

Output
crystal system	monoclinic
space-group type	Cm
energy relative to the lowest polymorph listed for this composition	0.460	eV per formula unit
ΔE_f (raw)	15	kJ/mol of atoms